1.
{"formula": "BaInHgI6", "functional": "PBE", "state": "relaxed", "lattice": [[-5.804, -4.723, 3.950], [-4.183, -6.103, -4.104], [5.570, -5.138, -0.127]], "species": ["I", "Ba", "Hg", "I", "I", "In", "I", "I", "I"], "fractional_positions": [[0.551, 0.107, 0.262], [0.672, 0.672, 0.500], [0.040, 0.040, 0.000], [0.973, 0.387, 0.247], [0.276, 0.682, 0.272], [0.312, 0.311, 0.500], [0.682, 0.276, 0.728], [0.387, 0.973, 0.753], [0.107, 0.551, 0.738]], "spacegroup": "C2"}


2.
{"formula": "BaInHg2I", "functional": "PBE", "state": "relaxed", "lattice": [[-2.959, -4.386, 1.711], [-1.315, -1.507, -6.137], [4.569, -3.162, -0.203]], "species": ["I", "In", "Ba", "Hg", "Hg"], "fractional_positions": [[0.000, 0.500, 0.000], [0.000, 0.000, 0.000], [0.500, 0.500, 0.500], [0.000, 0.000, 0.500], [0.500, 0.000, 0.000]], "spacegroup": "P4/mmm"}


3.
{"formula": "Ba2HgIrI", "functional": "PBE", "state": "relaxed", "lattice": [[-2.571, 5.173, -1.778], [-2.194, 0.824, 5.571], [4.397, 2.646, 1.340]], "species": ["Ir", "Hg", "Ba", "I", "Ba"], "fractional_positions": [[0.000, 0.000, 0.000], [0.000, 0.000, 0.500], [0.000, 0.500, 0.000], [0.500, 0.500, 0.500], [0.500, 0.000, 0.000]], "spacegroup": "P4/mmm"}


4.
{"formula": "BaMgHgI4", "functional": "PBE", "state": "relaxed", "lattice": [[-4.136, -4.220, -5.653], [0.613, -6.862, 4.674], [-6.986, 4.559, 7.609]], "species": ["I", "I", "I", "I", "Ba", "I", "I", "I", "Hg", "I", "Ba", "Hg", "Mg", "Mg"], "fractional_positions": [[0.021, 0.505, 0.705], [0.021, 0.995, 0.705], [0.599, 0.250, 0.830], [0.428, 0.750, 0.570], [0.765, 0.750, 0.446], [0.979, 0.495, 0.295], [0.572, 0.250, 0.430], [0.979, 0.005, 0.295], [0.230, 0.250, 0.053], [0.401, 0.750, 0.170], [0.235, 0.250, 0.554], [0.770, 0.750, 0.947], [0.206, 0.750, 0.317], [0.794, 0.250, 0.683]], "spacegroup": "P2_1/m"}


5.
{"formula": "BaMnHgI4", "functional": "PBE", "state": "relaxed", "lattice": [[8.033, 0.000, -0.306], [0.000, 8.263, 0.000], [-3.665, 0.000, 10.674]], "species": ["I", "I", "I", "I", "I", "Mn", "Hg", "Ba", "I", "Hg", "I", "Mn", "I", "Ba"], "fractional_positions": [[0.420, 0.750, 0.571], [0.024, 0.505, 0.707], [0.976, 0.005, 0.293], [0.610, 0.250, 0.827], [0.976, 0.495, 0.293], [0.799, 0.250, 0.677], [0.768, 0.750, 0.945], [0.237, 0.250, 0.553], [0.580, 0.250, 0.429], [0.232, 0.250, 0.055], [0.390, 0.750, 0.173], [0.201, 0.750, 0.323], [0.024, 0.995, 0.707], [0.763, 0.750, 0.447]], "spacegroup": "P2_1/m"}


6.
{"formula": "BaHg2MoI", "functional": "PBE", "state": "relaxed", "lattice": [[5.467, 0.000, 0.000], [0.000, 5.305, 0.000], [0.000, 0.000, 5.467]], "species": ["Mo", "Ba", "Hg", "Hg", "I"], "fractional_positions": [[0.000, 0.000, 0.000], [0.500, 0.500, 0.500], [0.500, 0.000, 0.000], [0.000, 0.000, 0.500], [0.000, 0.500, 0.000]], "spacegroup": "P4/mmm"}


| no. | VASP energy (eV per atom) |
| --- | --- |
| 1 | -2.35 |
| 2 | -1.73 |
| 3 | -3.53 |
| 4 | -2.60 |
| 5 | -3.45 |
| 6 | -2.91 |